Ru2WSe | PBE | optimized geometry

V: 59.7 Å³/cell
Energy relative to the elements, uncorrected: 0.25 eV/atom

Unit cell a=2.961 b=2.961 c=6.805 alpha=90.00 beta=90.00 gamma=90.00
Atoms (fractional coordinates):
1 Ru 0.000 0.000 0.992
2 Ru 0.500 0.500 0.271
3 Se 0.000 0.000 0.491
4 W 0.500 0.500 0.746



CaTlAgBr4 | PBE | optimized geometry

V: 477.8 Å³/cell
Energy relative to the elements, uncorrected: -1.17 eV/atom

Unit cell a=7.289 b=7.659 c=8.986 alpha=90.00 beta=107.72 gamma=90.00
Atoms (fractional coordinates):
1 Ca 0.797 0.750 0.449
2 Ca 0.203 0.250 0.551
3 Tl 0.777 0.750 0.951
4 Tl 0.223 0.250 0.049
5 Ag 0.244 0.750 0.320
6 Ag 0.756 0.250 0.680
7 Br 0.021 0.510 0.711
8 Br 0.979 0.010 0.289
9 Br 0.979 0.490 0.289
10 Br 0.021 0.990 0.711
11 Br 0.485 0.750 0.150
12 Br 0.515 0.250 0.850
13 Br 0.507 0.750 0.606
14 Br 0.493 0.250 0.394



Dy4Y2ThSc | PBE | optimized geometry

V: 248.8 Å³/cell
ΔE_f: 0.149 eV per atom

Unit cell a=5.830 b=5.831 c=9.358 alpha=51.44 beta=90.00 gamma=90.00
Atoms (fractional coordinates):
1 Dy 0.000 0.742 0.758
2 Dy 0.000 0.258 0.242
3 Dy 0.500 0.757 0.243
4 Dy 0.500 0.243 0.757
5 Y 0.000 0.000 0.000
6 Y 0.500 0.000 0.500
7 Th 0.000 0.500 0.500
8 Sc 0.500 0.500 0.000



Among the records above, which one has the lowest V? Ru2WSe